Record 1
This record from the Alexandria database describes a geometry-optimized CrOs2Cl structure. The functional is PBE-GGA.

```
data_CrOs2Cl
_chemical_formula_sum 'Cr2 Os4 Cl2'
_symmetry_space_group_name_H-M 'C 1 m 1'
_symmetry_Int_Tables_number 8
_cell_length_a 8.027
_cell_length_b 2.745
_cell_length_c 5.930
_cell_angle_alpha 90.00
_cell_angle_beta 104.20
_cell_angle_gamma 90.00
loop_
_symmetry_equiv_pos_as_xyz
'x,y,z'
'x,-y,z'
'x+1/2,y+1/2,z'
'x+1/2,-y+1/2,z'
loop_
_atom_site_label
_atom_site_fract_x
_atom_site_fract_y
_atom_site_fract_z
_atom_site_occupancy
Cr1 0.000 0.000 0.000 1
Os1 0.105 0.500 0.413 1
Os2 0.387 0.000 0.616 1
Cl1 0.233 0.500 0.056 1
```

Record 2
This record from the Alexandria database describes a geometry-optimized CrOs2Cl structure. The functional is PBE-GGA.

```
data_CrOs2Cl
_chemical_formula_sum 'Cr3 Os6 Cl3'
_symmetry_space_group_name_H-M 'R -3 m'
_symmetry_Int_Tables_number 166
_symmetry_space_group_name_Hall '-R 3 2"'
_cell_length_a 2.7934
_cell_length_b 2.7934
_cell_length_c 25.5029
_cell_angle_alpha 90.00
_cell_angle_beta 90.00
_cell_angle_gamma 120.00
loop_
_atom_site_label
_atom_site_fract_x
_atom_site_fract_y
_atom_site_fract_z
_atom_site_occupancy
Cr1 0.0000 0.0000 0.0000 1
Os1 0.0000 0.0000 0.2562 1
Cl1 0.0000 0.0000 0.5000 1
```

Record 3
This record from the Alexandria database describes a geometry-optimized CrOs2Cl structure. The functional is PBE-GGA.

```
data_CrOs2Cl
_chemical_formula_sum 'Cr1 Os2 Cl1'
_symmetry_space_group_name_H-M 'P 4/m m m'
_symmetry_Int_Tables_number 123
_symmetry_space_group_name_Hall '-P 4 2'
_cell_length_a 2.837
_cell_length_b 2.837
_cell_length_c 7.190
_cell_angle_alpha 90.00
_cell_angle_beta 90.00
_cell_angle_gamma 90.00
loop_
_atom_site_label
_atom_site_fract_x
_atom_site_fract_y
_atom_site_fract_z
_atom_site_occupancy
Cr1 0.000 0.000 0.000 1
Os1 0.500 0.500 0.218 1
Cl1 0.000 0.000 0.500 1
```

Number 1: raw formation energy 2.4 eV per formula unit, V 126.7 Å³ per cell. Number 2: raw formation energy 2.1 eV per formula unit, V 172.3 Å³ per cell. Number 3: raw formation energy 2.8 eV per formula unit, V 57.9 Å³ per cell.